Compound: HoTm3S
Source: Alexandria via LeMat-Bulk
Functional: PBE
Structure: optimized geometry

Cell lengths 5.2248, 5.2248, 5.2248 Å; angles 90.00, 90.00, 90.00 degrees
Site moments in Bohr magnetons follow the coordinates.
Fractional coordinates of all 5 atoms:
S1 0.0000 0.0000 0.0000  0.00
Ho1 0.5000 0.5000 0.5000  0.23
Tm1 0.5000 0.0000 0.0000  0.22
Tm2 0.0000 0.5000 0.0000  0.22
Tm3 0.0000 0.0000 0.5000  0.22

Summary:
raw formation energy = -0.608 eV per atom
mass density = 8.19 g/cm3
energy = -5.03 eV/atom
symmetry = No. 221